Entry from the Alexandria database: a relaxed HgSb2Ir2 crystal (PBE-GGA).

Geometry as POSCAR:
```
HgSb2Ir2
1.0
8.002 0.000 0.000
0.000 8.002 0.000
0.000 0.000 3.138
Hg Sb Ir
2 4 4
Direct
0.000 0.000 0.000 Hg
0.500 0.500 0.000 Hg
0.154 0.346 0.500 Sb
0.346 0.846 0.500 Sb
0.654 0.154 0.500 Sb
0.846 0.654 0.500 Sb
0.134 0.634 0.000 Ir
0.366 0.134 0.000 Ir
0.634 0.866 0.000 Ir
0.866 0.366 0.000 Ir
```

Computed properties:
Formation energy without anion corrections, eV/f.u.: 0.91
Space-group type: P4/mbm
Calculated volume, Å³ per cell: 200.9
Energy above the lowest structure with this stoichiometry, meV/atom: 236